Compound: K3PaCo2O6
Source: Alexandria
Functional: PBE+U
Structure: relaxed

Properties
final energy = -6.328 eV per atom
magnetic moment = 6.1 μB/f.u.

```
data_K3PaCo2O6
_cell_length_a 5.7005
_cell_length_b 5.7005
_cell_length_c 6.4768
_cell_angle_alpha 98.20
_cell_angle_beta 98.20
_cell_angle_gamma 120.26
_space_group_name_H-M_alt 'P 1'
_space_group_IT_number 1
loop_
_space_group_symop_operation_xyz
'x,y,z'
loop_
_atom_site_label
_atom_site_type_symbol
_atom_site_fract_x
_atom_site_fract_y
_atom_site_fract_z
K1 K 0.0000 0.0000 0.0000
K2 K 0.3243 0.6757 0.0000
K3 K 0.6757 0.3243 0.0000
Pa1 Pa 0.5000 0.5000 0.5000
Co1 Co 0.1667 0.8333 0.5000
Co2 Co 0.8333 0.1667 0.5000
O1 O 0.1060 0.4372 0.3165
O2 O 0.2315 0.2315 0.6874
O3 O 0.4372 0.1060 0.3165
O4 O 0.5628 0.8940 0.6835
O5 O 0.7685 0.7685 0.3126
O6 O 0.8940 0.5628 0.6835
```